i:
A geometry-optimized KNa4Sn structure. Source: Alexandria via LeMat-Bulk, functional GGA-PBE.

Summary:
Crystal system ... monoclinic
SG ... C2/m, No. 12

abc: 5.656 7.015 12.318
angles: 85.67 90.00 113.78
Atoms (fractional coordinates):
K (0.062, 0.125, 0.154)
K (0.938, 0.875, 0.846)
Na (0.881, 0.761, 0.426)
Na (0.331, 0.662, 0.041)
Na (0.598, 0.195, 0.377)
Na (0.695, 0.391, 0.694)
Na (0.305, 0.609, 0.306)
Na (0.402, 0.805, 0.623)
Na (0.669, 0.338, 0.959)
Na (0.119, 0.239, 0.574)
Sn (0.221, 0.443, 0.815)
Sn (0.779, 0.557, 0.185)

ii:
A geometry-optimized KNa4Sn structure. Source: Alexandria via LeMat-Bulk, functional GGA-PBE.

Summary:
Crystal system ... cubic
SG ... F-43m, No. 216

abc: 6.572 6.572 6.572
angles: 60.00 60.00 60.00
Atoms (fractional coordinates):
Na (0.627, 0.627, 0.119)
Na (0.627, 0.119, 0.627)
Na (0.627, 0.627, 0.627)
Na (0.119, 0.627, 0.627)
K (0.250, 0.250, 0.250)
Sn (0.000, 0.000, 0.000)

Most stable one: i, least stable one: ii.

i:
A geometry-optimized KNa6Sn structure. Source: Alexandria via LeMat-Bulk, functional GGA-PBE.

Summary:
Crystal system ... orthorhombic
SG ... Pmm2, No. 25

abc: 5.650 5.770 8.935
angles: 90.00 90.00 90.00
Atoms (fractional coordinates):
K (0.000, 0.721, 0.000)
Na (0.500, 0.801, 0.306)
Na (0.000, 0.220, 0.698)
Na (0.000, 0.220, 0.302)
Na (0.500, 0.801, 0.694)
Na (0.000, 0.683, 0.500)
Na (0.500, 0.249, 0.000)
Sn (0.500, 0.306, 0.500)

ii:
A geometry-optimized KNa6Sn structure. Source: Alexandria via LeMat-Bulk, functional GGA-PBE.

Summary:
Crystal system ... trigonal
SG ... R-3m, No. 166

abc: 7.830 7.830 8.405
angles: 62.24 62.24 60.00
Atoms (fractional coordinates):
K (0.500, 0.500, 0.500)
Na (0.905, 0.905, 0.749)
Na (0.441, 0.905, 0.749)
Na (0.095, 0.559, 0.251)
Na (0.559, 0.095, 0.251)
Na (0.095, 0.095, 0.251)
Na (0.905, 0.441, 0.749)
Sn (0.000, 0.000, 0.000)

Most stable one: i, least stable one: ii.

i:
A geometry-optimized KNaTlSn2 structure. Source: Alexandria via LeMat-Bulk, functional GGA-PBE.

Summary:
Crystal system ... orthorhombic
SG ... Imm2, No. 44

abc: 4.567 5.375 7.675
angles: 110.50 107.31 90.00
Atoms (fractional coordinates):
K (0.442, 0.442, 0.883)
Na (0.178, 0.678, 0.356)
Tl (0.836, 0.836, 0.673)
Sn (0.697, 0.197, 0.393)
Sn (0.060, 0.060, 0.120)

ii:
A geometry-optimized KNaTlSn2 structure. Source: Alexandria via LeMat-Bulk, functional GGA-PBE.

Summary:
Crystal system ... tetragonal
SG ... P4/mmm, No. 123

abc: 5.872 6.270 5.872
angles: 90.00 90.00 90.00
Atoms (fractional coordinates):
K (0.000, 0.500, 0.000)
Na (0.500, 0.500, 0.500)
Tl (0.000, 0.000, 0.000)
Sn (0.000, 0.000, 0.500)
Sn (0.500, 0.000, 0.000)

Most stable one: i, least stable one: ii.

i:
A geometry-optimized K3NaSr structure. Source: Alexandria via LeMat-Bulk, functional GGA-PBE.

Summary:
Crystal system ... cubic
SG ... Pm-3m, No. 221

abc: 6.978 6.978 6.978
angles: 90.00 90.00 90.00
Atoms (fractional coordinates):
Sr (0.500, 0.500, 0.500)
K (0.000, 0.500, 0.000)
K (0.000, 0.000, 0.500)
K (0.500, 0.000, 0.000)
Na (0.000, 0.000, 0.000)

ii:
A geometry-optimized K3NaSr structure. Source: Alexandria via LeMat-Bulk, functional GGA-PBE.

Summary:
Crystal system ... cubic
SG ... Pm-3m, No. 221

abc: 7.806 7.806 7.806
angles: 90.00 90.00 90.00
Atoms (fractional coordinates):
Sr (0.000, 0.000, 0.000)
K (0.000, 0.500, 0.000)
K (0.000, 0.000, 0.500)
K (0.500, 0.000, 0.000)
Na (0.500, 0.500, 0.500)

Most stable one: i, least stable one: ii.

i:
A geometry-optimized KNa2Sr2 structure. Source: Alexandria via LeMat-Bulk, functional GGA-PBE.

Summary:
Crystal system ... tetragonal
SG ... I4/mmm, No. 139

abc: 4.476 4.476 13.614
angles: 80.54 80.54 90.00
Atoms (fractional coordinates):
Sr (0.376, 0.376, 0.249)
Sr (0.624, 0.624, 0.751)
K (0.000, 0.000, 0.000)
Na (0.750, 0.250, 0.500)
Na (0.250, 0.750, 0.500)

ii:
A geometry-optimized KNa2Sr2 structure. Source: Alexandria via LeMat-Bulk, functional GGA-PBE.

Summary:
Crystal system ... tetragonal
SG ... P4/mbm, No. 127

abc: 11.179 11.179 4.219
angles: 90.00 90.00 90.00
Atoms (fractional coordinates):
Sr (0.370, 0.870, 0.000)
Sr (0.870, 0.630, 0.000)
Sr (0.630, 0.130, 0.000)
Sr (0.130, 0.370, 0.000)
K (0.000, 0.000, 0.000)
K (0.500, 0.500, 0.000)
Na (0.164, 0.664, 0.500)
Na (0.664, 0.836, 0.500)
Na (0.836, 0.336, 0.500)
Na (0.336, 0.164, 0.500)

Most stable one: ii, least stable one: i.

i:
A geometry-optimized K2NaSr structure. Source: Alexandria via LeMat-Bulk, functional GGA-PBE.

Summary:
Crystal system ... tetragonal
SG ... P4/mmm, No. 123

abc: 4.420 4.420 11.891
angles: 90.00 90.00 90.00
Atoms (fractional coordinates):
Sr (0.500, 0.500, 0.500)
K (0.000, 0.000, 0.776)
K (0.000, 0.000, 0.224)
Na (0.500, 0.500, 0.000)

ii:
A geometry-optimized K2NaSr structure. Source: Alexandria via LeMat-Bulk, functional GGA-PBE.

Summary:
Crystal system ... tetragonal
SG ... I-42d, No. 122

abc: 10.937 10.937 8.721
angles: 51.17 51.17 90.00
Atoms (fractional coordinates):
Sr (0.000, 0.000, 0.000)
Sr (0.750, 0.250, 0.500)
K (0.585, 0.125, 0.250)
K (0.165, 0.625, 0.250)
K (0.375, 0.415, 0.750)
K (0.875, 0.835, 0.750)
Na (0.500, 0.500, 0.000)
Na (0.250, 0.750, 0.500)

Most stable one: i, least stable one: ii.

i:
A geometry-optimized K2NaSr structure. Source: Alexandria via LeMat-Bulk, functional GGA-PBE.

Summary:
Crystal system ... monoclinic
SG ... P2_1/m, No. 11

abc: 4.346 6.744 16.234
angles: 90.00 90.99 90.00
Atoms (fractional coordinates):
K (0.731, 0.250, 0.224)
K (0.269, 0.750, 0.776)
K (0.754, 0.250, 0.929)
K (0.246, 0.750, 0.071)
Na (0.767, 0.250, 0.674)
Na (0.233, 0.750, 0.326)
Sr (0.249, 0.250, 0.466)
Sr (0.751, 0.750, 0.534)

ii:
A geometry-optimized K2NaSr structure. Source: Alexandria via LeMat-Bulk, functional GGA-PBE.

Summary:
Crystal system ... cubic
SG ... Fm-3m, No. 225

abc: 6.949 6.949 6.949
angles: 60.00 60.00 60.00
Atoms (fractional coordinates):
Sr (0.500, 0.500, 0.500)
K (0.250, 0.250, 0.250)
K (0.750, 0.750, 0.750)
Na (0.000, 0.000, 0.000)

iii:
A geometry-optimized K2NaSr structure. Source: Alexandria via LeMat-Bulk, functional GGA-PBE.

Summary:
Crystal system ... trigonal
SG ... R-3m, No. 166

abc: 4.265 4.265 15.191
angles: 81.93 81.93 60.00
Atoms (fractional coordinates):
Sr (0.000, 0.000, 0.000)
K (0.092, 0.092, 0.723)
K (0.908, 0.908, 0.277)
Na (0.500, 0.500, 0.500)

Most stable one: i, least stable one: ii.

i:
A geometry-optimized K2Na2Sr structure. Source: Alexandria via LeMat-Bulk, functional GGA-PBE.

Summary:
Crystal system ... tetragonal
SG ... P4/mbm, No. 127

abc: 11.142 11.142 4.270
angles: 90.00 90.00 90.00
Atoms (fractional coordinates):
Sr (0.000, 0.000, 0.000)
Sr (0.500, 0.500, 0.000)
K (0.369, 0.869, 0.000)
K (0.869, 0.631, 0.000)
K (0.631, 0.131, 0.000)
K (0.131, 0.369, 0.000)
Na (0.172, 0.672, 0.500)
Na (0.672, 0.828, 0.500)
Na (0.828, 0.328, 0.500)
Na (0.328, 0.172, 0.500)

ii:
A geometry-optimized K2Na2Sr structure. Source: Alexandria via LeMat-Bulk, functional GGA-PBE.

Summary:
Crystal system ... tetragonal
SG ... I4/mmm, No. 139

abc: 6.541 6.541 7.912
angles: 65.58 65.58 90.00
Atoms (fractional coordinates):
Sr (0.000, 0.000, 0.000)
K (0.363, 0.363, 0.275)
K (0.637, 0.637, 0.725)
Na (0.750, 0.250, 0.500)
Na (0.250, 0.750, 0.500)

Most stable one: i, least stable one: ii.